5
Lattice="5.5113 0.0000 0.0000 0.0000 5.5113 0.0000 0.0000 0.0000 3.9495" Properties=species:S:1:pos:R:3 comment="BaY2VO (GGA+U, optimized geometry)" vol_a3_per_atom=23.99 dos_at_fermi_per_ev_cell=6.88 dft_energy_ev_per_atom=-5.634 crystal_system=tetragonal m_tot_mub_per_cell=0.342 pbc="T T T"
Ba 0.0000 0.0000 0.0000
Y 0.0000 2.7556 1.9748
Y 2.7556 0.0000 1.9748
V 2.7556 2.7556 0.0000
O 2.7556 2.7556 1.9748